(1)
# Li2AuSe | Alexandria | PBE-GGA | optimized geometry
data_Li2AuSe
_space_group_name_H-M_alt 'F -4 3 m'
_space_group_IT_number 216
_space_group_name_Hall 'F -4 2 3'
_cell_length_a 6.5511
_cell_length_b 6.5511
_cell_length_c 6.5511
_cell_angle_alpha 90.00
_cell_angle_beta 90.00
_cell_angle_gamma 90.00
loop_
_atom_site_label
_atom_site_type_symbol
_atom_site_fract_x
_atom_site_fract_y
_atom_site_fract_z
Li1 Li 0.0000 0.0000 0.0000
Li2 Li 0.2500 0.2500 0.2500
Au1 Au 0.2500 0.2500 0.7500
Se1 Se 0.0000 0.0000 0.5000
# Excess energy over the best structure of this formula in the dataset ... 156 meV/atom
# E_tot ... -50.604 eV for the cell shown
# N(E_F) ... 0.375 states/eV per atom
# Formation energy (no corrections) ... -50 kJ/mol of atoms
# Total moment ... 0.0000 μB/atom

=====

(2)
# TaNb2Ir5Rh | Alexandria | PBE-GGA | optimized geometry
data_TaNb2Ir5Rh
_space_group_name_H-M_alt 'I 4/m c m'
_space_group_IT_number 140
_space_group_name_Hall '-I 4 2c'
_cell_length_a 7.4070
_cell_length_b 7.4070
_cell_length_c 11.1081
_cell_angle_alpha 90.00
_cell_angle_beta 90.00
_cell_angle_gamma 90.00
loop_
_atom_site_label
_atom_site_type_symbol
_atom_site_fract_x
_atom_site_fract_y
_atom_site_fract_z
Ta1 Ta 0.0000 0.0000 0.2500
Nb1 Nb 0.1178 0.3822 0.0000
Ir1 Ir 0.0000 0.0000 0.0000
Ir2 Ir 0.2061 0.2939 0.3635
Rh1 Rh 0.0000 0.5000 0.2500
# E_tot ... -326.948 eV for the cell shown
# N(E_F) ... 1.150 states/eV per atom
# DFT formation energy ... 0.2124 eV per atom
# Total moment ... 0.0000 μB/atom

=====

(3)
# Ba8In | Alexandria | PBE-GGA | optimized geometry
data_Ba8In
_space_group_name_H-M_alt 'I 4/m m m'
_space_group_IT_number 139
_space_group_name_Hall '-I 4 2'
_cell_length_a 14.7307
_cell_length_b 14.7307
_cell_length_c 4.7101
_cell_angle_alpha 90.00
_cell_angle_beta 90.00
_cell_angle_gamma 90.00
loop_
_atom_site_label
_atom_site_type_symbol
_atom_site_fract_x
_atom_site_fract_y
_atom_site_fract_z
Ba1 Ba 0.0000 0.3349 0.0000
Ba2 Ba 0.1433 0.1433 0.5000
In1 In 0.0000 0.0000 0.0000
# E_tot ... -37.296 eV for the cell shown
# N(E_F) ... 1.179 states/eV per atom
# DFT formation energy ... -0.0586 eV per atom
# Total moment ... 0.0000 μB/atom